No. 1
YNbTe3 | PBE-GGA | relaxed

Output
Formation energy from raw total energies   0.4599 eV/atom
Space-group type   Pm-3m (221)

Cell and atoms, written as CIF:
```
data_YNbTe3
_chemical_formula_sum 'Y1 Nb1 Te3'
_symmetry_space_group_name_H-M 'P 1'
_symmetry_Int_Tables_number 1
_cell_length_a 5.751
_cell_length_b 5.751
_cell_length_c 5.751
_cell_angle_alpha 90.00
_cell_angle_beta 90.00
_cell_angle_gamma 90.00
loop_
_symmetry_equiv_pos_as_xyz
'x,y,z'
loop_
_atom_site_label
_atom_site_type_symbol
_atom_site_fract_x
_atom_site_fract_y
_atom_site_fract_z
Y1 Y 0.000 0.000 0.000
Nb1 Nb 0.500 0.500 0.500
Te1 Te 0.000 0.500 0.000
Te2 Te 0.000 0.000 0.500
Te3 Te 0.500 0.000 0.000
```

---

No. 2
Pm3CuS2 | PBE-GGA | relaxed

Output
Formation energy from raw total energies   -1.3784 eV/atom
Space-group type   Immm (71)

Cell and atoms, written as CIF:
```
data_Pm3CuS2
_chemical_formula_sum 'Pm6 Cu2 S4'
_symmetry_space_group_name_H-M 'P 1'
_symmetry_Int_Tables_number 1
_cell_length_a 5.740
_cell_length_b 7.142
_cell_length_c 8.026
_cell_angle_alpha 106.33
_cell_angle_beta 90.00
_cell_angle_gamma 113.69
loop_
_symmetry_equiv_pos_as_xyz
'x,y,z'
loop_
_atom_site_label
_atom_site_type_symbol
_atom_site_fract_x
_atom_site_fract_y
_atom_site_fract_z
Pm1 Pm 0.500 0.000 0.750
Pm2 Pm 0.500 0.000 0.250
Pm3 Pm 0.825 0.651 0.913
Pm4 Pm 0.174 0.349 0.587
Pm5 Pm 0.826 0.651 0.413
Pm6 Pm 0.175 0.349 0.087
Cu1 Cu 0.000 0.000 0.250
Cu2 Cu 0.000 0.000 0.750
S1 S 0.336 0.671 0.418
S2 S 0.336 0.671 0.918
S3 S 0.664 0.329 0.082
S4 S 0.664 0.329 0.582
```

---

No. 3
Al2AuBr2 | PBE-GGA | relaxed

Output
Formation energy from raw total energies   0.1449 eV/atom
Space-group type   I4/mmm (139)
Polymorph energy (0 for the lowest one)   2.17 eV/f.u.

Cell and atoms, written as CIF:
```
data_Al2AuBr2
_chemical_formula_sum 'Al2 Au1 Br2'
_symmetry_space_group_name_H-M 'P 1'
_symmetry_Int_Tables_number 1
_cell_length_a 4.609
_cell_length_b 4.609
_cell_length_c 6.540
_cell_angle_alpha 69.37
_cell_angle_beta 69.37
_cell_angle_gamma 90.00
loop_
_symmetry_equiv_pos_as_xyz
'x,y,z'
loop_
_atom_site_label
_atom_site_type_symbol
_atom_site_fract_x
_atom_site_fract_y
_atom_site_fract_z
Au1 Au 0.000 0.000 0.000
Al1 Al 0.384 0.384 0.231
Al2 Al 0.616 0.616 0.769
Br1 Br 0.750 0.250 0.500
Br2 Br 0.250 0.750 0.500
```

---

No. 4
Ho2PuN | PBE-GGA | relaxed

Output
Formation energy from raw total energies   -0.5985 eV/atom
Space-group type   R-3m (166)
Polymorph energy (0 for the lowest one)   0.00 eV/f.u.

Cell and atoms, written as CIF:
```
data_Ho2PuN
_chemical_formula_sum 'Ho2 Pu1 N1'
_symmetry_space_group_name_H-M 'P 1'
_symmetry_Int_Tables_number 1
_cell_length_a 3.390
_cell_length_b 3.390
_cell_length_c 9.629
_cell_angle_alpha 79.86
_cell_angle_beta 79.86
_cell_angle_gamma 60.00
loop_
_symmetry_equiv_pos_as_xyz
'x,y,z'
loop_
_atom_site_label
_atom_site_type_symbol
_atom_site_fract_x
_atom_site_fract_y
_atom_site_fract_z
N1 N 0.500 0.500 0.500
Ho1 Ho 0.119 0.119 0.643
Ho2 Ho 0.881 0.881 0.357
Pu1 Pu 0.000 0.000 0.000
```

---

No. 5
PmFe9Si4 | PBE-GGA | relaxed

Output
Formation energy from raw total energies   -0.3877 eV/atom
Space-group type   I4/mcm (140)

Cell and atoms, written as CIF:
```
data_PmFe9Si4
_chemical_formula_sum 'Pm2 Fe18 Si8'
_symmetry_space_group_name_H-M 'P 1'
_symmetry_Int_Tables_number 1
_cell_length_a 7.812
_cell_length_b 7.812
_cell_length_c 7.973
_cell_angle_alpha 119.33
_cell_angle_beta 119.33
_cell_angle_gamma 90.00
loop_
_symmetry_equiv_pos_as_xyz
'x,y,z'
loop_
_atom_site_label
_atom_site_type_symbol
_atom_site_fract_x
_atom_site_fract_y
_atom_site_fract_z
Pm1 Pm 0.750 0.750 0.500
Pm2 Pm 0.250 0.250 0.500
Fe1 Fe 0.067 0.200 0.000
Fe2 Fe 0.933 0.800 0.000
Fe3 Fe 0.567 0.300 0.000
Fe4 Fe 0.433 0.700 0.000
Fe5 Fe 0.300 0.433 0.000
Fe6 Fe 0.700 0.567 0.000
Fe7 Fe 0.200 0.933 0.000
Fe8 Fe 0.800 0.067 0.000
Fe9 Fe 0.000 0.500 0.000
Fe10 Fe 0.500 0.000 0.000
Fe11 Fe 0.804 0.304 0.360
Fe12 Fe 0.556 0.056 0.360
Fe13 Fe 0.944 0.196 0.640
Fe14 Fe 0.696 0.444 0.640
Fe15 Fe 0.196 0.696 0.640
Fe16 Fe 0.444 0.944 0.640
Fe17 Fe 0.304 0.556 0.360
Fe18 Fe 0.056 0.804 0.360
Si1 Si 0.293 0.793 0.242
Si2 Si 0.949 0.449 0.242
Si3 Si 0.551 0.707 0.758
Si4 Si 0.207 0.051 0.758
Si5 Si 0.707 0.207 0.758
Si6 Si 0.051 0.551 0.758
Si7 Si 0.793 0.949 0.242
Si8 Si 0.449 0.293 0.242
```

---

No. 6
BaPd2CS | PBE-GGA | relaxed

Output
Formation energy from raw total energies   2.1545 eV/atom
Space-group type   P4/mmm (123)

Cell and atoms, written as CIF:
```
data_BaPd2CS
_chemical_formula_sum 'Ba1 Pd2 C1 S1'
_symmetry_space_group_name_H-M 'P 1'
_symmetry_Int_Tables_number 1
_cell_length_a 5.526
_cell_length_b 5.882
_cell_length_c 5.526
_cell_angle_alpha 90.00
_cell_angle_beta 90.00
_cell_angle_gamma 90.00
loop_
_symmetry_equiv_pos_as_xyz
'x,y,z'
loop_
_atom_site_label
_atom_site_type_symbol
_atom_site_fract_x
_atom_site_fract_y
_atom_site_fract_z
C1 C 0.500 0.500 0.500
S1 S 0.000 0.500 0.000
Ba1 Ba 0.000 0.000 0.000
Pd1 Pd 0.000 0.000 0.500
Pd2 Pd 0.500 0.000 0.000
```

---

No. 7
RbSrPt3 | PBE-GGA | relaxed

Output
Space-group type   Pm-3m (221)
Polymorph energy (0 for the lowest one)   0.00 eV/f.u.
Formation energy from the elements   0.90 eV/atom

Cell and atoms, written as CIF:
```
data_RbSrPt3
_chemical_formula_sum 'Rb1 Sr1 Pt3'
_symmetry_space_group_name_H-M 'P 1'
_symmetry_Int_Tables_number 1
_cell_length_a 5.510
_cell_length_b 5.510
_cell_length_c 5.510
_cell_angle_alpha 90.00
_cell_angle_beta 90.00
_cell_angle_gamma 90.00
loop_
_symmetry_equiv_pos_as_xyz
'x,y,z'
loop_
_atom_site_label
_atom_site_type_symbol
_atom_site_fract_x
_atom_site_fract_y
_atom_site_fract_z
Sr1 Sr 0.000 0.000 0.000
Rb1 Rb 0.500 0.500 0.500
Pt1 Pt 0.000 0.500 0.000
Pt2 Pt 0.000 0.000 0.500
Pt3 Pt 0.500 0.000 0.000
```

---

No. 8
RbBa2CaTi | PBE-GGA | relaxed

Output
Space-group type   P4/mmm (123)
Formation energy from the elements   0.55 eV/atom

Cell and atoms, written as CIF:
```
data_RbBa2CaTi
_chemical_formula_sum 'Rb1 Ba2 Ca1 Ti1'
_symmetry_space_group_name_H-M 'P 1'
_symmetry_Int_Tables_number 1
_cell_length_a 6.644
_cell_length_b 6.493
_cell_length_c 6.644
_cell_angle_alpha 90.00
_cell_angle_beta 90.00
_cell_angle_gamma 90.00
loop_
_symmetry_equiv_pos_as_xyz
'x,y,z'
loop_
_atom_site_label
_atom_site_type_symbol
_atom_site_fract_x
_atom_site_fract_y
_atom_site_fract_z
Ca1 Ca 0.000 0.500 0.000
Ba1 Ba 0.000 0.000 0.500
Ba2 Ba 0.500 0.000 0.000
Rb1 Rb 0.500 0.500 0.500
Ti1 Ti 0.000 0.000 0.000
```

---

No. 9
Rb2LiPbCl5 | PBE-GGA | relaxed

Output
Formation energy from raw total energies   -1.6696 eV/atom
Space-group type   Cmc2_1 (36)

Cell and atoms, written as CIF:
```
data_Rb2LiPbCl5
_chemical_formula_sum 'Rb4 Li2 Pb2 Cl10'
_symmetry_space_group_name_H-M 'P 1'
_symmetry_Int_Tables_number 1
_cell_length_a 4.380
_cell_length_b 9.478
_cell_length_c 14.291
_cell_angle_alpha 90.00
_cell_angle_beta 90.00
_cell_angle_gamma 103.36
loop_
_symmetry_equiv_pos_as_xyz
'x,y,z'
loop_
_atom_site_label
_atom_site_type_symbol
_atom_site_fract_x
_atom_site_fract_y
_atom_site_fract_z
Rb1 Rb 0.871 0.742 0.834
Rb2 Rb 0.098 0.196 0.672
Rb3 Rb 0.129 0.258 0.334
Rb4 Rb 0.902 0.804 0.172
Li1 Li 0.550 0.099 0.925
Li2 Li 0.450 0.901 0.425
Pb1 Pb 0.803 0.607 0.535
Pb2 Pb 0.197 0.393 0.035
Cl1 Cl 0.346 0.693 0.009
Cl2 Cl 0.683 0.367 0.897
Cl3 Cl 0.496 0.992 0.778
Cl4 Cl 0.288 0.576 0.673
Cl5 Cl 0.964 0.928 0.501
Cl6 Cl 0.654 0.307 0.509
Cl7 Cl 0.317 0.633 0.397
Cl8 Cl 0.504 0.008 0.278
Cl9 Cl 0.712 0.424 0.173
Cl10 Cl 0.036 0.072 0.001
```

---

No. 10
LiIn4Sn | PBE-GGA | relaxed

Output
Space-group type   F-43m (216)
Polymorph energy (0 for the lowest one)   0.78 eV/f.u.
Formation energy from the elements   0.06 eV/atom

Cell and atoms, written as CIF:
```
data_LiIn4Sn
_chemical_formula_sum 'Li1 In4 Sn1'
_symmetry_space_group_name_H-M 'P 1'
_symmetry_Int_Tables_number 1
_cell_length_a 6.162
_cell_length_b 6.162
_cell_length_c 6.162
_cell_angle_alpha 60.00
_cell_angle_beta 60.00
_cell_angle_gamma 60.00
loop_
_symmetry_equiv_pos_as_xyz
'x,y,z'
loop_
_atom_site_label
_atom_site_type_symbol
_atom_site_fract_x
_atom_site_fract_y
_atom_site_fract_z
Li1 Li 0.250 0.250 0.250
Sn1 Sn 0.000 0.000 0.000
In1 In 0.625 0.625 0.126
In2 In 0.625 0.126 0.625
In3 In 0.625 0.625 0.625
In4 In 0.126 0.625 0.625
```

---

No. 11
PmTh2In3Hg6 | PBE-GGA | relaxed

Output
Space-group type   P4/mmm (123)
Formation energy from the elements   0.04 eV/atom

Cell and atoms, written as CIF:
```
data_PmTh2In3Hg6
_chemical_formula_sum 'Pm1 Th2 In3 Hg6'
_symmetry_space_group_name_H-M 'P 1'
_symmetry_Int_Tables_number 1
_cell_length_a 4.245
_cell_length_b 4.245
_cell_length_c 20.875
_cell_angle_alpha 90.00
_cell_angle_beta 90.00
_cell_angle_gamma 90.00
loop_
_symmetry_equiv_pos_as_xyz
'x,y,z'
loop_
_atom_site_label
_atom_site_type_symbol
_atom_site_fract_x
_atom_site_fract_y
_atom_site_fract_z
Pm1 Pm 0.500 0.500 0.500
Th1 Th 0.500 0.500 0.217
Th2 Th 0.500 0.500 0.783
In1 In 0.000 0.000 0.279
In2 In 0.000 0.000 0.721
In3 In 0.000 0.000 0.000
Hg1 Hg 0.000 0.500 0.614
Hg2 Hg 0.500 0.000 0.386
Hg3 Hg 0.500 0.000 0.614
Hg4 Hg 0.000 0.000 0.135
Hg5 Hg 0.000 0.500 0.386
Hg6 Hg 0.000 0.000 0.865
```

---

In order of appearance, electronic total energy = -23.66 -69.75 -13.38 -34.21 -216.07 -14.89 -16.27 -11.95 -63.63 -16.52 -29.18 eV/cell.